A relaxed structure of Ga2SbAu2, computed with PBE.

Results
Its space group is No. 127. As for the uncorrected formation energy: -67.8 meV/atom. As for the total energy: -3.41 eV/atom. The value obtained for the density of states at the Fermi level is 3.66 states/eV per cell.

```
Ga2SbAu2
1.0
-2.282 -7.661 -0.177
7.382 -2.148 -2.198
0.820 -0.315 3.060
Sb Au Ga
2 4 4
direct
0.000 0.000 0.000 Sb
0.500 0.500 0.000 Sb
0.334 0.834 0.000 Au
0.834 0.666 0.000 Au
0.666 0.166 0.000 Au
0.166 0.334 0.000 Au
0.133 0.633 0.500 Ga
0.633 0.867 0.500 Ga
0.867 0.367 0.500 Ga
0.367 0.133 0.500 Ga
```